No. 1
## BaIn2Re (PBE)

Data for a relaxed BaIn2Re crystal.

- N(E_F): 3.7 states/eV per cell
- E_tot: -4.1146 eV per atom
- V: 26.90 Å³/atom
- Formation energy from the elements: 847 meV per atom

Cell: 4.630 4.651 4.997 Å, 90.00 90.00 90.00°
Space group Pmmm (No. 47)
Unique sites:
Ba1 0.000 0.000 0.000 (multiplicity 1)
In1 0.000 0.500 0.500 (multiplicity 1)
In2 0.500 0.000 0.500 (multiplicity 1)
Re1 0.500 0.500 0.000 (multiplicity 1)

No. 2
## BaIn2Re (PBE)

Data for a relaxed BaIn2Re crystal.

- N(E_F): 6.6 states/eV per cell
- E_tot: -4.1014 eV per atom
- V: 26.52 Å³/atom
- Formation energy from the elements: 861 meV per atom

Cell: 4.750 4.750 9.403 Å, 90.00 90.00 90.00°
Space group I-4m2 (No. 119)
Unique sites:
Ba1 0.000 0.000 0.000 (multiplicity 2)
In1 0.000 0.000 0.500 (multiplicity 2)
In2 0.000 0.500 0.750 (multiplicity 2)
Re1 0.000 0.500 0.250 (multiplicity 2)

No. 3
## BaInRe2 (PBE)

Data for a relaxed BaInRe2 crystal.

- N(E_F): 12.3 states/eV per cell
- E_tot: -5.8008 eV per atom
- V: 21.51 Å³/atom
- Formation energy from the elements: 1589 meV per atom

Cell: 4.449 4.449 8.695 Å, 90.00 90.00 90.00°
Space group I4/mmm (No. 139)
Unique sites:
Ba1 0.000 0.000 0.000 (multiplicity 2)
In1 0.000 0.000 0.500 (multiplicity 2)
Re1 0.000 0.500 0.250 (multiplicity 4)

Look up the V of the first one. 26.90 Å³/atom

Among the records above, which one has the lowest V? BaInRe2

Repeat the third record exactly.
## BaInRe2 (PBE)

Data for a relaxed BaInRe2 crystal.

- N(E_F): 12.3 states/eV per cell
- E_tot: -5.8008 eV per atom
- V: 21.51 Å³/atom
- Formation energy from the elements: 1589 meV per atom

Cell: 4.449 4.449 8.695 Å, 90.00 90.00 90.00°
Space group I4/mmm (No. 139)
Unique sites:
Ba1 0.000 0.000 0.000 (multiplicity 2)
In1 0.000 0.000 0.500 (multiplicity 2)
Re1 0.000 0.500 0.250 (multiplicity 4)

Among the records above, which one has the highest N(E_F)? BaInRe2